No. 1
{
  "formula": "KGe3Au",
  "functional": "PBE",
  "state": "optimized geometry",
  "formation_enthalpy_0k_kj_per_mol_fu": 813,
  "polymorph_energy_mev_per_atom": 1829.9,
  "dos_ef_per_ev_fu": 2.8,
  "spacegroup": "Pm-3m, No. 221",
  "cell": [[5.4647, 0.0000, 0.0000], [0.0000, 5.4647, 0.0000], [0.0000, 0.0000, 5.4647]],
  "species": ["K", "Ge", "Ge", "Ge", "Au"],
  "frac_coords": [[0.0000, 0.0000, 0.0000], [0.0000, 0.0000, 0.5000], [0.0000, 0.5000, 0.0000], [0.5000, 0.0000, 0.0000], [0.5000, 0.5000, 0.5000]]
}

=====

No. 2
{
  "formula": "Tm5Si2Ge5",
  "functional": "PBE",
  "state": "optimized geometry",
  "dos_ef_per_ev_fu": 4.9,
  "spacegroup": "C2/m, No. 12",
  "formation_energy_uncorrected_ev_per_fu": -7.81,
  "cell": [[7.2556, -2.0280, 0.0000], [7.2556, 2.0280, 0.0000], [-6.9460, 0.0000, 8.5392]],
  "species": ["Tm", "Tm", "Tm", "Tm", "Tm", "Si", "Si", "Ge", "Ge", "Ge", "Ge", "Ge"],
  "frac_coords": [[0.0000, 0.0000, 0.0000], [0.1149, 0.1149, 0.4299], [0.2074, 0.2074, 0.8406], [0.7926, 0.7926, 0.1594], [0.8851, 0.8851, 0.5701], [0.3597, 0.3597, 0.7426], [0.6403, 0.6403, 0.2574], [0.2566, 0.2566, 0.3119], [0.4364, 0.4364, 0.1591], [0.5000, 0.5000, 0.5000], [0.5636, 0.5636, 0.8409], [0.7434, 0.7434, 0.6881]]
}

=====

No. 3
{
  "formula": "U4CN",
  "functional": "PBE",
  "state": "optimized geometry",
  "dos_ef_per_ev_fu": 4.8,
  "spacegroup": "P-1, No. 2",
  "formation_energy_uncorrected_ev_per_fu": -0.16,
  "cell": [[2.8384, 0.0000, 0.0000], [0.0117, 5.6835, 0.0000], [1.4106, 1.4521, 5.6201]],
  "species": ["U", "U", "U", "U", "C", "N"],
  "frac_coords": [[0.1318, 0.3191, 0.2379], [0.1372, 0.8132, 0.2271], [0.8628, 0.1868, 0.7729], [0.8682, 0.6809, 0.7621], [0.5000, 0.5000, 0.5000], [0.5000, 0.0000, 0.5000]]
}

=====

No. 4
{
  "formula": "Sm12Er7Al",
  "functional": "PBE",
  "state": "optimized geometry",
  "formation_enthalpy_0k_kj_per_mol_fu": 223,
  "dos_ef_per_ev_fu": 33.4,
  "spacegroup": "R-3, No. 148",
  "cell": [[7.4235, 4.2860, 3.3780], [-7.4235, 4.2860, 3.3780], [0.0000, -8.5719, 3.3780]],
  "species": ["Sm", "Sm", "Sm", "Sm", "Sm", "Sm", "Sm", "Sm", "Sm", "Sm", "Sm", "Sm", "Er", "Er", "Er", "Er", "Er", "Er", "Er", "Al"],
  "frac_coords": [[0.0640, 0.3974, 0.2942], [0.2164, 0.3830, 0.6812], [0.2942, 0.0640, 0.3974], [0.3188, 0.7836, 0.6170], [0.3830, 0.6812, 0.2164], [0.3974, 0.2942, 0.0640], [0.6026, 0.7058, 0.9360], [0.6170, 0.3188, 0.7836], [0.6812, 0.2164, 0.3830], [0.7058, 0.9360, 0.6026], [0.7836, 0.6170, 0.3188], [0.9360, 0.6026, 0.7058], [0.0058, 0.3073, 0.9032], [0.0968, 0.9942, 0.6927], [0.3073, 0.9032, 0.0058], [0.5000, 0.5000, 0.5000], [0.6927, 0.0968, 0.9942], [0.9032, 0.0058, 0.3073], [0.9942, 0.6927, 0.0968], [0.0000, 0.0000, 0.0000]]
}

=====

No. 5
{
  "formula": "Cs2Pu2Br7",
  "functional": "PBE",
  "state": "optimized geometry",
  "dos_ef_per_ev_fu": 25.4,
  "spacegroup": "Cmmm, No. 65",
  "formation_energy_uncorrected_ev_per_fu": -17.79,
  "cell": [[4.7770, -5.6067, 0.0000], [4.7770, 5.6067, 0.0000], [0.0000, 0.0000, 8.2501]],
  "species": ["Cs", "Cs", "Pu", "Pu", "Br", "Br", "Br", "Br", "Br", "Br", "Br"],
  "frac_coords": [[0.2254, 0.2254, 0.0000], [0.7746, 0.7746, 0.0000], [0.2799, 0.7201, 0.5000], [0.7201, 0.2799, 0.5000], [0.0000, 0.0000, 0.5000], [0.0000, 0.5000, 0.2753], [0.0000, 0.5000, 0.7247], [0.5000, 0.0000, 0.2753], [0.5000, 0.0000, 0.7247], [0.5000, 0.5000, 0.2868], [0.5000, 0.5000, 0.7132]]
}

=====

No. 6
{
  "formula": "AcGa2Fe",
  "functional": "PBE",
  "state": "optimized geometry",
  "formation_enthalpy_0k_kj_per_mol_fu": -102,
  "dos_ef_per_ev_fu": 5.2,
  "spacegroup": "R-3m, No. 166",
  "cell": [[2.1231, 1.2258, 5.6872], [-2.1231, 1.2258, 5.6872], [0.0000, -2.4516, 5.6872]],
  "species": ["Ac", "Ga", "Ga", "Fe"],
  "frac_coords": [[0.0000, 0.0000, 0.0000], [0.2061, 0.2061, 0.2061], [0.7939, 0.7939, 0.7939], [0.5000, 0.5000, 0.5000]]
}

=====

No. 7
{
  "formula": "Sc6Te3AsP2",
  "functional": "PBE",
  "state": "optimized geometry",
  "dos_ef_per_ev_fu": 5.6,
  "spacegroup": "C2/m, No. 12",
  "formation_energy_uncorrected_ev_per_fu": -16.40,
  "cell": [[3.4021, -5.8908, 0.0000], [3.4021, 5.8908, 0.0000], [-2.2686, 0.0000, 6.6730]],
  "species": ["Sc", "Sc", "Sc", "Sc", "Sc", "Sc", "Te", "Te", "Te", "As", "P", "P"],
  "frac_coords": [[0.0891, 0.4303, 0.7915], [0.2276, 0.2276, 0.2069], [0.4303, 0.0891, 0.7915], [0.5697, 0.9109, 0.2085], [0.7724, 0.7724, 0.7931], [0.9109, 0.5697, 0.2085], [0.0000, 0.0000, 0.5000], [0.3356, 0.6644, 0.5000], [0.6644, 0.3356, 0.5000], [0.5000, 0.5000, 0.0000], [0.1670, 0.8330, 0.0000], [0.8330, 0.1670, 0.0000]]
}

=====

No. 8
{
  "formula": "LaTm2Mg2In2",
  "functional": "PBE",
  "state": "optimized geometry",
  "formation_enthalpy_0k_kj_per_mol_fu": -163,
  "dos_ef_per_ev_fu": 4.1,
  "spacegroup": "R-3m, No. 166",
  "cell": [[2.5164, 1.4528, 8.8248], [-2.5164, 1.4528, 8.8248], [0.0000, -2.9057, 8.8248]],
  "species": ["La", "Tm", "Tm", "Mg", "Mg", "In", "In"],
  "frac_coords": [[0.0000, 0.0000, 0.0000], [0.1323, 0.1323, 0.1323], [0.8677, 0.8677, 0.8677], [0.4138, 0.4138, 0.4138], [0.5862, 0.5862, 0.5862], [0.2584, 0.2584, 0.2584], [0.7416, 0.7416, 0.7416]]
}

=====

No. 9
{
  "formula": "La2TbPt2I2",
  "functional": "PBE",
  "state": "optimized geometry",
  "dos_ef_per_ev_fu": 6.8,
  "spacegroup": "I4/mmm, No. 139",
  "formation_energy_uncorrected_ev_per_fu": -7.16,
  "cell": [[-2.6467, 2.6467, 8.3490], [2.6467, -2.6467, 8.3490], [2.6467, 2.6467, -8.3490]],
  "species": ["La", "La", "Tb", "Pt", "Pt", "I", "I"],
  "frac_coords": [[0.1049, 0.1049, 0.0000], [0.8951, 0.8951, 0.0000], [0.5000, 0.5000, 0.0000], [0.0000, 0.5000, 0.5000], [0.5000, 0.0000, 0.5000], [0.3077, 0.3077, 0.0000], [0.6923, 0.6923, 0.0000]]
}

=====

No. 10
{
  "formula": "BeTcRuCCl",
  "functional": "PBE",
  "state": "optimized geometry",
  "polymorph_energy_mev_per_atom": 305.6,
  "dos_ef_per_ev_fu": 3.3,
  "spacegroup": "Cm, No. 8",
  "formation_energy_uncorrected_ev_per_fu": 2.05,
  "cell": [[4.1992, -1.4213, 0.0000], [4.1992, 1.4213, 0.0000], [-1.1851, 0.0000, 5.4113]],
  "species": ["Be", "Tc", "Ru", "C", "Cl"],
  "frac_coords": [[0.0000, 0.0000, 0.0000], [0.2321, 0.2321, 0.8028], [0.6155, 0.6155, 0.3638], [0.6400, 0.6400, 0.9923], [0.3594, 0.3594, 0.4508]]
}

=====

No. 11
{
  "formula": "Pa2CuO6",
  "functional": "PBE",
  "state": "optimized geometry",
  "spacegroup": "P2_1/c, No. 14",
  "formation_energy_uncorrected_ev_per_fu": -25.62,
  "cell": [[5.5020, 0.0000, 0.0000], [0.0000, 5.7469, 0.0000], [-3.5804, 0.0000, 8.2013]],
  "species": ["Pa", "Pa", "Pa", "Pa", "Cu", "Cu", "O", "O", "O", "O", "O", "O", "O", "O", "O", "O", "O", "O"],
  "frac_coords": [[0.1787, 0.1323, 0.2091], [0.1787, 0.3677, 0.7091], [0.8213, 0.6323, 0.2909], [0.8213, 0.8677, 0.7909], [0.5000, 0.0000, 0.0000], [0.5000, 0.5000, 0.5000], [0.1424, 0.6345, 0.8710], [0.1424, 0.8655, 0.3710], [0.1510, 0.1389, 0.9445], [0.1510, 0.3611, 0.4445], [0.4847, 0.0841, 0.7843], [0.4847, 0.4159, 0.2843], [0.5153, 0.5841, 0.7157], [0.5153, 0.9159, 0.2157], [0.8490, 0.6389, 0.5555], [0.8490, 0.8611, 0.0555], [0.8576, 0.1345, 0.6290], [0.8576, 0.3655, 0.1290]]
}

=====

No. 12
{
  "formula": "Ac2BiF4",
  "functional": "PBE",
  "state": "optimized geometry",
  "dos_ef_per_ev_fu": 1.8,
  "spacegroup": "R-3m, No. 166",
  "formation_energy_uncorrected_ev_per_fu": -23.37,
  "cell": [[2.1663, 1.2507, 9.0045], [-2.1663, 1.2507, 9.0045], [0.0000, -2.5015, 9.0045]],
  "species": ["Ac", "Ac", "Bi", "F", "F", "F", "F"],
  "frac_coords": [[0.2353, 0.2353, 0.2353], [0.7647, 0.7647, 0.7647], [0.0000, 0.0000, 0.0000], [0.1402, 0.1402, 0.1402], [0.4380, 0.4380, 0.4380], [0.5620, 0.5620, 0.5620], [0.8598, 0.8598, 0.8598]]
}

=====

No. 13
{
  "formula": "UGe3O9",
  "functional": "PBE",
  "state": "optimized geometry",
  "dos_ef_per_ev_fu": 0.0,
  "spacegroup": "C222_1, No. 20",
  "formation_energy_uncorrected_ev_per_fu": -25.51,
  "cell": [[4.7446, -5.3358, 0.0000], [4.7446, 5.3358, 0.0000], [0.0000, 0.0000, 7.3713]],
  "species": ["U", "U", "Ge", "Ge", "Ge", "Ge", "Ge", "Ge", "O", "O", "O", "O", "O", "O", "O", "O", "O", "O", "O", "O", "O", "O", "O", "O", "O", "O"],
  "frac_coords": [[0.1747, 0.1747, 0.0000], [0.8253, 0.8253, 0.5000], [0.2635, 0.2635, 0.5000], [0.2946, 0.6881, 0.9671], [0.3119, 0.7054, 0.5329], [0.6881, 0.2946, 0.0329], [0.7054, 0.3119, 0.4671], [0.7365, 0.7365, 0.0000], [0.1248, 0.8456, 0.5234], [0.1509, 0.2119, 0.7165], [0.1544, 0.8752, 0.9766], [0.1857, 0.4628, 0.0388], [0.2119, 0.1509, 0.2835], [0.2372, 0.4940, 0.4198], [0.3676, 0.6324, 0.7500], [0.4628, 0.1857, 0.9612], [0.4940, 0.2372, 0.5802], [0.5060, 0.7628, 0.0802], [0.5372, 0.8143, 0.4612], [0.6324, 0.3676, 0.2500], [0.7628, 0.5060, 0.9198], [0.7881, 0.8491, 0.7835], [0.8143, 0.5372, 0.5388], [0.8456, 0.1248, 0.4766], [0.8491, 0.7881, 0.2165], [0.8752, 0.1544, 0.0234]]
}

=====

No. 14
{
  "formula": "CsInSe2",
  "functional": "PBE",
  "state": "optimized geometry",
  "dos_ef_per_ev_fu": 0.0,
  "spacegroup": "I4_1/amd, No. 141",
  "formation_energy_uncorrected_ev_per_fu": -2.71,
  "cell": [[-3.4773, 3.4773, 6.0334], [3.4773, -3.4773, 6.0334], [3.4773, 3.4773, -6.0334]],
  "species": ["Cs", "Cs", "In", "In", "Se", "Se", "Se", "Se"],
  "frac_coords": [[0.3750, 0.6250, 0.7500], [0.6250, 0.3750, 0.2500], [0.1250, 0.8750, 0.2500], [0.8750, 0.1250, 0.7500], [0.0818, 0.3318, 0.7500], [0.3318, 0.0818, 0.2500], [0.6682, 0.9182, 0.7500], [0.9182, 0.6682, 0.2500]]
}

=====

No. 15
{
  "formula": "UPaTcMo",
  "functional": "PBE",
  "state": "optimized geometry",
  "formation_enthalpy_0k_kj_per_mol_fu": 55,
  "dos_ef_per_ev_fu": 7.9,
  "spacegroup": "F-43m, No. 216",
  "cell": [[0.0000, 3.4216, 3.4216], [3.4216, 0.0000, 3.4216], [3.4216, 3.4216, 0.0000]],
  "species": ["U", "Pa", "Tc", "Mo"],
  "frac_coords": [[0.0000, 0.0000, 0.0000], [0.5000, 0.5000, 0.5000], [0.7500, 0.7500, 0.7500], [0.2500, 0.2500, 0.2500]]
}

=====

No. 16
{
  "formula": "LiNdLuPt",
  "functional": "PBE",
  "state": "optimized geometry",
  "formation_enthalpy_0k_kj_per_mol_fu": -239,
  "dos_ef_per_ev_fu": 3.4,
  "spacegroup": "F-43m, No. 216",
  "cell": [[0.0000, 3.5485, 3.5485], [3.5485, 0.0000, 3.5485], [3.5485, 3.5485, 0.0000]],
  "species": ["Li", "Nd", "Lu", "Pt"],
  "frac_coords": [[0.0000, 0.0000, 0.0000], [0.2500, 0.2500, 0.2500], [0.7500, 0.7500, 0.7500], [0.5000, 0.5000, 0.5000]]
}

=====

No. 17
{
  "formula": "Cr3MoRh4",
  "functional": "PBE",
  "state": "optimized geometry",
  "formation_enthalpy_0k_kj_per_mol_fu": -63,
  "dos_ef_per_ev_fu": 6.5,
  "spacegroup": "I4/mmm, No. 139",
  "cell": [[-1.8960, 1.8960, 7.5049], [1.8960, -1.8960, 7.5049], [1.8960, 1.8960, -7.5049]],
  "species": ["Cr", "Cr", "Cr", "Mo", "Rh", "Rh", "Rh", "Rh"],
  "frac_coords": [[0.0000, 0.0000, 0.0000], [0.2494, 0.2494, 0.0000], [0.7506, 0.7506, 0.0000], [0.5000, 0.5000, 0.0000], [0.1303, 0.6303, 0.5000], [0.3697, 0.8697, 0.5000], [0.6303, 0.1303, 0.5000], [0.8697, 0.3697, 0.5000]]
}

=====

No. 18
{
  "formula": "Nd5MgAg",
  "functional": "PBE",
  "state": "optimized geometry",
  "formation_enthalpy_0k_kj_per_mol_fu": 27,
  "dos_ef_per_ev_fu": 9.1,
  "spacegroup": "C2/c, No. 15",
  "cell": [[4.3699, -4.2219, 0.0000], [4.3699, 4.2219, 0.0000], [-3.0526, 0.0000, 11.9654]],
  "species": ["Nd", "Nd", "Nd", "Nd", "Nd", "Nd", "Nd", "Nd", "Nd", "Nd", "Mg", "Mg", "Ag", "Ag"],
  "frac_coords": [[0.0122, 0.9878, 0.7500], [0.0943, 0.4525, 0.6351], [0.2209, 0.4978, 0.9360], [0.4525, 0.0943, 0.1351], [0.4978, 0.2209, 0.4360], [0.5022, 0.7791, 0.5640], [0.5475, 0.9057, 0.8649], [0.7791, 0.5022, 0.0640], [0.9057, 0.5475, 0.3649], [0.9878, 0.0122, 0.2500], [0.3757, 0.6243, 0.2500], [0.6243, 0.3757, 0.7500], [0.0000, 0.0000, 0.0000], [0.0000, 0.0000, 0.5000]]
}

=====

No. 19
{
  "formula": "Pm9TlPb2",
  "functional": "PBE",
  "state": "optimized geometry",
  "formation_enthalpy_0k_kj_per_mol_fu": -339,
  "dos_ef_per_ev_fu": 17.8,
  "spacegroup": "P4/mmm, No. 123",
  "cell": [[4.9681, 0.0000, 0.0000], [0.0000, 4.9681, 0.0000], [0.0000, 0.0000, 14.8714]],
  "species": ["Pm", "Pm", "Pm", "Pm", "Pm", "Pm", "Pm", "Pm", "Pm", "Tl", "Pb", "Pb"],
  "frac_coords": [[0.0000, 0.0000, 0.0000], [0.0000, 0.0000, 0.3339], [0.0000, 0.0000, 0.6661], [0.0000, 0.5000, 0.1670], [0.0000, 0.5000, 0.5000], [0.0000, 0.5000, 0.8330], [0.5000, 0.0000, 0.1670], [0.5000, 0.0000, 0.5000], [0.5000, 0.0000, 0.8330], [0.5000, 0.5000, 0.0000], [0.5000, 0.5000, 0.3323], [0.5000, 0.5000, 0.6677]]
}

=====

No. 20
{
  "formula": "CdCoOs2",
  "functional": "PBE",
  "state": "optimized geometry",
  "formation_enthalpy_0k_kj_per_mol_fu": 231,
  "dos_ef_per_ev_fu": 5.5,
  "spacegroup": "Cmm2, No. 35",
  "cell": [[1.4087, -2.3272, 0.0000], [1.4087, 2.3272, 0.0000], [0.0000, 0.0000, 9.2519]],
  "species": ["Cd", "Co", "Os", "Os"],
  "frac_coords": [[0.0000, 0.0000, 0.0000], [0.5000, 0.5000, 0.2540], [0.0000, 0.0000, 0.4797], [0.5000, 0.5000, 0.7218]]
}